[1]
MgTcGe | GGA-PBE | optimized geometry

a b c (Å): 3.0139 3.0139 6.4701
angles (deg): 90.00 90.00 120.00
Space group P3m1 (No. 156)
Symmetry-distinct sites (fractional):
Mg1 0.0000 0.0000 0.0000
Tc1 0.3333 0.6667 0.3409
Ge1 0.6667 0.3333 0.6288

Summary:
Formation energy, eV per atom: 0.1195
Relative energy among the computed polymorphs, meV/atom: 282
Total DFT energy (no corrections), Ha/atom: -0.199
Theoretical density, g/cm3: 6.4



[2]
BaLiCoGe2 | GGA-PBE | optimized geometry

a b c (Å): 4.610 4.610 4.970
angles (deg): 90.00 90.00 90.00
Space group P4/mmm (No. 123)
Symmetry-distinct sites (fractional):
Ba1 0.000 0.000 0.000
Li1 0.500 0.500 0.000
Co1 0.500 0.500 0.500
Ge1 0.000 0.500 0.500

Summary:
Formation energy, eV per atom: -0.2682
Total DFT energy (no corrections), Ha/atom: -0.158
Theoretical density, g/cm3: 5.5



[3]
NaEuMg2 | GGA-PBE | optimized geometry

a b c (Å): 3.504 3.504 9.996
angles (deg): 90.00 90.00 90.00
Space group P4/mmm (No. 123)
Symmetry-distinct sites (fractional):
Na1 0.000 0.000 0.000
Eu1 0.000 0.000 0.500
Mg1 0.500 0.500 0.248

Summary:
Formation energy, eV per atom: 0.0487
Relative energy among the computed polymorphs, meV/atom: 0
Total DFT energy (no corrections), Ha/atom: -0.134
Theoretical density, g/cm3: 3.0



Q: Look up the formation energy of the second one.
A: -0.2682 eV per atom